1.
{
  "formula": "Tl3OsRh3S8",
  "functional": "GGA-PBE",
  "state": "relaxed",
  "cell": [[6.282, -3.633, 0.000], [6.282, 3.633, 0.000], [-4.188, 0.000, 7.036]],
  "species": ["Tl", "Tl", "Tl", "Os", "Rh", "Rh", "Rh", "S", "S", "S", "S", "S", "S", "S", "S"],
  "fractional_positions": [[0.000, 0.000, 0.000], [0.000, 0.500, 0.000], [0.500, 0.000, 0.000], [0.000, 0.000, 0.500], [0.000, 0.500, 0.500], [0.500, 0.000, 0.500], [0.500, 0.500, 0.500], [0.221, 0.221, 0.669], [0.222, 0.726, 0.669], [0.274, 0.778, 0.331], [0.278, 0.278, 0.335], [0.722, 0.722, 0.665], [0.726, 0.222, 0.669], [0.778, 0.274, 0.331], [0.779, 0.779, 0.331]],
  "spacegroup": "C2/m, No. 12",
  "dft_energy_ev_per_fu": -78.48,
  "raw_formation_energy_ev_per_atom": -0.338
}

***

2.
{
  "formula": "Sb2OsRh",
  "functional": "GGA-PBE",
  "state": "relaxed",
  "cell": [[-2.960, 2.960, 5.892], [2.960, -2.960, 5.892], [2.960, 2.960, -5.892]],
  "species": ["Sb", "Sb", "Sb", "Sb", "Os", "Os", "Rh", "Rh"],
  "fractional_positions": [[0.124, 0.625, 0.999], [0.375, 0.374, 0.499], [0.626, 0.125, 0.001], [0.875, 0.876, 0.501], [0.000, 0.000, 0.000], [0.750, 0.250, 0.500], [0.250, 0.750, 0.500], [0.500, 0.500, 0.000]],
  "e_above_lowest_polymorph_ev_per_atom": 0.3132,
  "spacegroup": "I-42d, No. 122",
  "dft_energy_ev_per_fu": -25.14,
  "raw_formation_energy_ev_per_atom": 0.422
}